DFT (GGA-PBE) results for a relaxed Pm3Pu2ScTe6 crystal.

abc: 19.2397 4.3845 8.8542
angles: 90.00 103.91 90.00
With the nearest neighbours (Å) after each atom.
Space group C2/m (No. 12)
Asymmetric unit:
Pm 0.0000 0.0000 0.0000 x2  6 Te 3.14-3.21
Pm 0.1709 0.5000 0.3356 x4  6 Te 3.14-3.17
Pu 0.1650 0.5000 0.8315 x4  6 Te 3.10-3.12
Sc 0.0000 0.0000 0.5000 x2  6 Te 2.97-3.02
Te 0.0018 0.5000 0.2656 x4  2 Sc 3.02, 1 Pu 3.12, 3 Pm 3.16-3.21
Te 0.1592 0.0000 0.5815 x4  1 Sc 2.97, 2 Pu 3.10, 3 Pm 3.14-3.17
Te 0.1680 0.0000 0.0807 x4  3 Pu 3.10-3.12, 3 Pm 3.14

Volume ... 30.21 Å³ per atom
Total energy ... -6.93 eV per atom
Formation energy without anion corrections ... -15.1 eV/f.u.